Entry 1:
First-principles (PBE) data for a relaxed PtN2 crystal, as listed in OQMD via LeMat-Bulk.

a b c (Å): 4.9400 4.9400 4.9400
angles (deg): 90.00 90.00 90.00
Closest atoms and distances in Å follow each position.
Space group Fm-3m (No. 225)
Symmetry-distinct sites (fractional):
Pt1 0.0000 0.0000 0.0000  8 N 2.14
N1 0.2500 0.2500 0.2500  4 Pt 2.14

Entry 2:
First-principles (PBE) data for a relaxed Pt3N4 crystal, as listed in OQMD via LeMat-Bulk.

## Properties
Energy relative to the lowest polymorph listed for this composition, meV per atom: 395.2

a b c (Å): 4.3342 4.3342 4.3342
angles (deg): 90.00 90.00 90.00
Closest atoms and distances in Å follow each position.
Space group Pm-3m (No. 221)
Symmetry-distinct sites (fractional):
Pt1 0.0000 0.0000 0.5000  6 N 2.17
N1 0.0000 0.0000 0.0000  6 Pt 2.17
N2 0.0000 0.5000 0.5000  4 Pt 2.17

Entry 3:
First-principles (PBE) data for a relaxed Pt2N crystal, as listed in OQMD via LeMat-Bulk.

a b c (Å): 5.5027 5.5027 5.5027
angles (deg): 90.00 90.00 90.00
Closest atoms and distances in Å follow each position.
Space group Fm-3m (No. 225)
Symmetry-distinct sites (fractional):
Pt1 0.2500 0.2500 0.2500  4 N 2.38
N1 0.0000 0.0000 0.0000  8 Pt 2.38

Entry 4:
First-principles (PBE) data for a relaxed PtN2 crystal, as listed in OQMD via LeMat-Bulk.

a b c (Å): 6.2598 6.2598 6.2598
angles (deg): 90.00 90.00 90.00
Closest atoms and distances in Å follow each position.
Space group Fd-3m (No. 227, origin choice 2)
Symmetry-distinct sites (fractional):
Pt1 0.1250 0.1250 0.1250  12 N 2.60, 4 Pt 2.71
N1 0.0000 0.0000 0.5000  6 N 2.21

Entry 5:
First-principles (PBE) data for a relaxed PtN2 crystal, as listed in OQMD via LeMat-Bulk.

a b c (Å): 4.5617 4.5617 3.1781
angles (deg): 90.00 90.00 90.00
Closest atoms and distances in Å follow each position.
Space group P4_2/mnm (No. 136)
Symmetry-distinct sites (fractional):
Pt1 0.0000 0.0000 0.0000  6 N 1.99-2.01
N1 0.1919 0.1919 0.5000  3 Pt 1.99-2.01

Entry 6:
First-principles (PBE) data for a relaxed Pt3N4 crystal, as listed in OQMD via LeMat-Bulk.

## Properties
Energy relative to the lowest polymorph listed for this composition, meV per atom: 0.0

a b c (Å): 8.9684 8.9684 2.9303
angles (deg): 90.00 90.00 120.00
Closest atoms and distances in Å follow each position.
Space group P6_3/m (No. 176)
Symmetry-distinct sites (fractional):
Pt1 0.1450 0.7224 0.2500  4 N 1.98-2.02
N1 0.0246 0.3467 0.2500  3 Pt 1.98-2.02
N2 0.3333 0.6667 0.2500  3 Pt 1.99

Entry 7:
First-principles (PBE) data for a relaxed PtN2 crystal, as listed in OQMD via LeMat-Bulk.

a b c (Å): 3.2035 3.2035 7.7139
angles (deg): 90.00 90.00 120.00
Closest atoms and distances in Å follow each position.
Space group P6_3/mmc (No. 194)
Symmetry-distinct sites (fractional):
Pt1 0.3333 0.6667 0.2500  6 N 2.28
N1 0.0000 0.0000 0.0782  1 N 1.21

Entry 8:
First-principles (PBE) data for a relaxed Rb3Pt3N2 crystal, as listed in OQMD via LeMat-Bulk.

a b c (Å): 5.6252 5.6252 18.7566
angles (deg): 90.00 90.00 120.00
Closest atoms and distances in Å follow each position.
Space group R-3m (No. 166, hexagonal axes)
Symmetry-distinct sites (fractional):
Rb1 0.0000 0.0000 0.0000  6 Rb 3.48, 6 Pt 3.52, 6 N 3.73
Rb2 0.0000 0.0000 0.3996  4 N 3.09-3.30, 6 Pt 3.38
Pt1 0.0000 0.5000 0.5000  2 N 2.07
N1 0.0000 0.0000 0.2351  3 Pt 2.07

Entry 9:
First-principles (PBE) data for a relaxed RbPt3N5 crystal, as listed in OQMD via LeMat-Bulk.

a b c (Å): 5.3167 5.3167 6.1196
angles (deg): 90.00 90.00 120.00
Closest atoms and distances in Å follow each position.
Space group P6/mmm (No. 191)
Symmetry-distinct sites (fractional):
Rb1 0.0000 0.0000 0.0000  2 N 3.06
Pt1 0.0000 0.5000 0.5000  4 N 2.04
N1 0.0000 0.0000 0.5000  6 Pt 2.66
N2 0.3333 0.6667 0.2808  3 Pt 2.04

Entry 10:
First-principles (PBE) data for a relaxed Sr2ScPtN6 crystal, as listed in OQMD via LeMat-Bulk.

a b c (Å): 5.7551 5.7688 5.7715
angles (deg): 60.29 60.19 60.17
Closest atoms and distances in Å follow each position.
Space group P-1 (No. 2)
Symmetry-distinct sites (fractional):
Sr1 0.2495 0.2509 0.2506  12 N 2.87-2.92
Sc1 0.0000 0.0000 0.0000  6 N 2.09
Pt1 0.5000 0.5000 0.5000  6 N 1.99
N1 0.2532 0.2591 0.7437  1 Pt 1.99, 1 Sc 2.09
N2 0.2564 0.7470 0.7405  1 Pt 1.99, 1 Sc 2.09
N3 0.2580 0.7431 0.2542  1 Pt 1.99, 1 Sc 2.09

Entry 11:
First-principles (PBE) data for a relaxed TcPtN crystal, as listed in OQMD via LeMat-Bulk.

a b c (Å): 2.7948 22.1188 3.0575
angles (deg): 90.00 90.00 90.00
Closest atoms and distances in Å follow each position.
Space group Cmc2_1 (No. 36)
Symmetry-distinct sites (fractional):
Tc1 0.0000 0.1207 0.0000  2 N 1.80-1.83
Pt1 0.0000 0.2948 0.0191  4 Tc 2.76-2.82, 8 Pt 2.79-3.06
N1 0.0000 0.0763 0.5059  2 Tc 1.80-1.83

Entry 12:
First-principles (PBE) data for a relaxed TlPt3N5 crystal, as listed in OQMD via LeMat-Bulk.

a b c (Å): 5.8110 5.8110 4.0216
angles (deg): 90.00 90.00 120.00
Closest atoms and distances in Å follow each position.
Space group P6/mmm (No. 191)
Symmetry-distinct sites (fractional):
Tl1 0.0000 0.0000 0.0000  2 N 2.01
Pt1 0.0000 0.5000 0.5000  4 N 2.16
N1 0.0000 0.0000 0.5000  2 Tl 2.01
N2 0.3333 0.6667 0.1600  1 N 1.29

Entry 13:
First-principles (PBE) data for a relaxed Y3PtN crystal, as listed in OQMD via LeMat-Bulk.

a b c (Å): 4.7063 4.7063 4.7063
angles (deg): 90.00 90.00 90.00
Closest atoms and distances in Å follow each position.
Space group Pm-3m (No. 221)
Symmetry-distinct sites (fractional):
Y1 0.0000 0.0000 0.5000  2 N 2.35
Pt1 0.5000 0.5000 0.5000  12 Y 3.33
N1 0.0000 0.0000 0.0000  6 Y 2.35

Entry 14:
First-principles (PBE) data for a relaxed Pu2N crystal, as listed in OQMD via LeMat-Bulk.

a b c (Å): 10.3396 10.3396 10.3396
angles (deg): 90.00 90.00 90.00
Closest atoms and distances in Å follow each position.
Space group Fd-3m (No. 227, origin choice 2)
Symmetry-distinct sites (fractional):
Pu1 0.0000 0.0000 0.0000  2 N 2.24
N1 0.1250 0.1250 0.1250  4 Pu 2.24

Entry 15:
First-principles (PBE) data for a relaxed PuN crystal, as listed in OQMD via LeMat-Bulk.

a b c (Å): 5.2301 5.2301 5.2301
angles (deg): 90.00 90.00 90.00
Closest atoms and distances in Å follow each position.
Space group F-43m (No. 216)
Symmetry-distinct sites (fractional):
Pu1 0.0000 0.0000 0.0000  4 N 2.26
N1 0.2500 0.2500 0.2500  4 Pu 2.26

Entry 16:
First-principles (PBE) data for a relaxed PuN2 crystal, as listed in OQMD via LeMat-Bulk.

a b c (Å): 9.1982 9.1982 9.1982
angles (deg): 90.00 90.00 90.00
Closest atoms and distances in Å follow each position.
Space group Fd-3m (No. 227, origin choice 2)
Symmetry-distinct sites (fractional):
Pu1 0.1250 0.1250 0.1250  4 N 1.99
N1 0.0000 0.0000 0.0000  2 Pu 1.99

Entry 17:
First-principles (PBE) data for a relaxed PuN crystal, as listed in OQMD via LeMat-Bulk.

a b c (Å): 3.3466 3.3466 3.0628
angles (deg): 90.00 90.00 120.00
Closest atoms and distances in Å follow each position.
Space group P-6m2 (No. 187)
Symmetry-distinct sites (fractional):
Pu1 0.0000 0.0000 0.0000  6 N 2.47
N1 0.3333 0.6667 0.5000  6 Pu 2.47

Entry 18:
First-principles (PBE) data for a relaxed PuN crystal, as listed in OQMD via LeMat-Bulk.

a b c (Å): 6.1878 3.4647 6.1476
angles (deg): 90.00 90.00 90.00
Closest atoms and distances in Å follow each position.
Space group Pmma (No. 51)
Symmetry-distinct sites (fractional):
Pu1 0.0000 0.0000 0.0000  6 N 2.35-2.45
Pu2 0.2500 0.5000 0.4927  3 N 2.19-2.24
N1 0.2500 0.0000 0.7112  4 Pu 2.19-2.35
N2 0.2500 0.5000 0.1284  5 Pu 2.24-2.45

Entry 19:
First-principles (PBE) data for a relaxed PuN2 crystal, as listed in OQMD via LeMat-Bulk.

a b c (Å): 4.8365 4.8365 3.4644
angles (deg): 90.00 90.00 90.00
Closest atoms and distances in Å follow each position.
Space group P4_2/mnm (No. 136)
Symmetry-distinct sites (fractional):
Pu1 0.0000 0.0000 0.0000  6 N 2.14-2.17
N1 0.1831 0.1831 0.5000  3 Pu 2.14-2.17

Entry 20:
First-principles (PBE) data for a relaxed Rb2PuWN4 crystal, as listed in OQMD via LeMat-Bulk.

a b c (Å): 6.1599 6.1599 8.7545
angles (deg): 90.00 90.00 90.00
Closest atoms and distances in Å follow each position.
Space group I-4 (No. 82)
Symmetry-distinct sites (fractional):
Rb1 0.0000 0.0000 0.0000  4 N 2.96
Rb2 0.0000 0.5000 0.2500  4 N 3.10
Pu1 0.0000 0.0000 0.5000  4 N 2.16
W1 0.0000 0.5000 0.7500  4 N 1.88
N1 0.1166 0.2765 0.6282  1 W 1.88

Entry 21:
First-principles (PBE) data for a relaxed PuSbN crystal, as listed in OQMD via LeMat-Bulk.

a b c (Å): 3.9408 3.9408 7.5265
angles (deg): 90.00 90.00 90.00
Closest atoms and distances in Å follow each position.
Space group P4/nmm (No. 129, origin choice 2)
Symmetry-distinct sites (fractional):
Pu1 0.2500 0.2500 0.1422  4 N 2.24
Sb1 0.2500 0.2500 0.5885  4 Sb 3.09, 5 Pu 3.36-3.45
N1 0.2500 0.7500 0.0000  4 Pu 2.24

Entry 22:
First-principles (PBE) data for a relaxed SmPu2Ta2N6 crystal, as listed in OQMD via LeMat-Bulk.

a b c (Å): 4.0214 4.0214 19.2259
angles (deg): 90.00 90.00 90.00
Closest atoms and distances in Å follow each position.
Space group I4/mmm (No. 139)
Symmetry-distinct sites (fractional):
Sm1 0.0000 0.0000 0.0000  8 N 2.58
Pu1 0.0000 0.0000 0.1794  1 N 2.26
Ta1 0.0000 0.0000 0.3979  5 N 1.94-2.04
N1 0.0000 0.0000 0.2969  1 Ta 1.94
N2 0.0000 0.5000 0.0843  2 Ta 2.04

Entry 23:
First-principles (PBE) data for a relaxed SrPuN2 crystal, as listed in OQMD via LeMat-Bulk.

a b c (Å): 3.9881 3.9881 9.1270
angles (deg): 90.00 90.00 90.00
Closest atoms and distances in Å follow each position.
Space group P4/nmm (No. 129, origin choice 2)
Symmetry-distinct sites (fractional):
Sr1 0.2500 0.2500 0.1318  5 N 2.57-2.83
Pu1 0.2500 0.2500 0.6135  5 N 2.16-2.25
N1 0.2500 0.2500 0.8497  1 Pu 2.16
N2 0.2500 0.7500 0.5000  4 Pu 2.25

Entry 24:
First-principles (PBE) data for a relaxed Pu3WN6 crystal, as listed in OQMD via LeMat-Bulk.

a b c (Å): 9.0274 10.9131 5.4502
angles (deg): 90.00 90.00 90.00
Closest atoms and distances in Å follow each position.
Space group Cmc2_1 (No. 36)
Symmetry-distinct sites (fractional):
Pu1 0.0000 0.1060 0.0000  5 N 2.24-2.30
Pu2 0.2044 0.3900 0.0351  6 N 2.21-2.41
W1 0.0000 0.3445 0.5562  4 N 1.87-2.06
N1 0.0000 0.2816 0.2203  1 W 1.96
N2 0.0000 0.4816 0.8168  2 W 2.06-2.30
N3 0.1541 0.0064 0.2704  4 Pu 2.21-2.30
N4 0.1544 0.2599 0.7117  1 W 1.87

Entry 25:
First-principles (PBE) data for a relaxed YPu3N4 crystal, as listed in OQMD via LeMat-Bulk.

a b c (Å): 6.9410 9.8089 3.4706
angles (deg): 90.00 90.00 90.00
Closest atoms and distances in Å follow each position.
Space group Cmmm (No. 65)
Symmetry-distinct sites (fractional):
Y1 0.0000 0.0000 0.0000  6 N 2.48
Pu1 0.0000 0.5000 0.0000  6 N 2.42-2.43
Pu2 0.2500 0.2500 0.5000  6 N 2.45
N1 0.0000 0.2528 0.0000  5 Pu 2.42-2.45, 1 Y 2.48
N2 0.2446 0.5000 0.5000  4 Pu 2.43-2.45, 2 Y 2.48

| no. | total DFT energy (no corrections) (eV for the cell shown) | total magnetization (μB per cell) |
| --- | --- | --- |
| 1 | -74.4 | 0.0 |
| 2 | -40.2 | 2.6 |
| 3 | -65.0 | 0.1 |
| 4 | -106.8 | 1.1 |
| 5 | -37.9 | 0.0 |
| 6 | -86.0 | 0.0 |
| 7 | -39.9 | 0.0 |
| 8 | -112.5 | 1.1 |
| 9 | -49.1 | 1.6 |
| 10 | -63.2 | 0.0 |
| 11 | -96.0 | 0.0 |
| 12 | -52.9 | 0.0 |
| 13 | -39.0 | 0.1 |
| 14 | -287.7 | 95.9 |
| 15 | -99.7 | 20.0 |
| 16 | -243.4 | 17.4 |
| 17 | -24.6 | 5.0 |
| 18 | -97.9 | 19.6 |
| 19 | -65.6 | 4.0 |
| 20 | -134.2 | 8.0 |
| 21 | -59.1 | 8.9 |
| 22 | -241.0 | 20.7 |
| 23 | -73.0 | 8.0 |
| 24 | -463.1 | 48.0 |
| 25 | -187.3 | 28.8 |